(1)
# NaS (PBE, relaxed)
# E above lowest polymorph	68	meV per atom
# energy relative to the elements, uncorrected	-17.6	kcal/mol of atoms
data_NaS
_chemical_formula_sum 'Na4 S4'
_cell_length_a 6.5903
_cell_length_b 6.5903
_cell_length_c 5.1494
_cell_angle_alpha 90.00
_cell_angle_beta 90.00
_cell_angle_gamma 90.00
_space_group_name_H-M_alt 'P 42/m n m'
_space_group_IT_number 136
_space_group_name_Hall '-P 4n 2n'
loop_
_atom_site_label
_atom_site_fract_x
_atom_site_fract_y
_atom_site_fract_z
Na1 0.2215 0.2215 0.0000
S1 0.1152 0.1152 0.5000


(2)
# CeNd2Ga6 (PBE, relaxed)
# E above lowest polymorph	238	meV per atom
# calculated formation energy	-40	kJ per mole of atoms
data_CeNd2Ga6
_chemical_formula_sum 'Ce2 Nd4 Ga12'
_cell_length_a 4.4259
_cell_length_b 7.2765
_cell_length_c 13.4539
_cell_angle_alpha 90.00
_cell_angle_beta 90.00
_cell_angle_gamma 90.00
_space_group_name_H-M_alt 'I m m m'
_space_group_IT_number 71
_space_group_name_Hall '-I 2 2'
loop_
_atom_site_label
_atom_site_fract_x
_atom_site_fract_y
_atom_site_fract_z
Ce1 0.0000 0.0000 0.0000
Nd1 0.0000 0.5000 0.1302
Ga1 0.0000 0.1841 0.5000
Ga2 0.0000 0.3104 0.3221


(3)
# NbP2S6 (PBE, relaxed)
# E above lowest polymorph	0	meV per atom
# energy relative to the elements, uncorrected	-9.4	kcal/mol of atoms
data_NbP2S6
_chemical_formula_sum 'Nb3 P6 S18'
_cell_length_a 6.2798
_cell_length_b 6.2798
_cell_length_c 22.0707
_cell_angle_alpha 90.00
_cell_angle_beta 90.00
_cell_angle_gamma 120.00
_space_group_name_H-M_alt 'R 3'
_space_group_IT_number 146
_space_group_name_Hall 'R 3'
loop_
_atom_site_label
_atom_site_fract_x
_atom_site_fract_y
_atom_site_fract_z
Nb1 0.0000 0.0000 0.0000
P1 0.0000 0.0000 0.6171
P2 0.0000 0.0000 0.7162
S1 0.0755 0.3432 0.5904
S2 0.0763 0.7329 0.7430


(4)
# Ba3Hg7Au4 (PBE, relaxed)
# calculated formation energy	-44	kJ per mole of atoms
data_Ba3Hg7Au4
_chemical_formula_sum 'Ba6 Hg14 Au8'
_cell_length_a 18.1323
_cell_length_b 4.8769
_cell_length_c 10.6763
_cell_angle_alpha 90.00
_cell_angle_beta 124.03
_cell_angle_gamma 90.00
_space_group_name_H-M_alt 'C 1 2/m 1'
_space_group_IT_number 12
_space_group_name_Hall '-C 2y'
loop_
_atom_site_label
_atom_site_fract_x
_atom_site_fract_y
_atom_site_fract_z
Ba1 0.0000 0.0000 0.0000
Ba2 0.1920 0.5000 0.6996
Hg1 0.0000 0.0000 0.5000
Hg2 0.0029 0.5000 0.2926
Hg3 0.1553 0.0000 0.4282
Hg4 0.1761 0.5000 0.0254
Au1 0.1243 0.0000 0.8403
Au2 0.1575 0.5000 0.2745


(5)
# K2Tl9In (PBE, relaxed)
# calculated formation energy	-5	kJ per mole of atoms
data_K2Tl9In
_chemical_formula_sum 'K2 Tl9 In1'
_cell_length_a 5.5256
_cell_length_b 8.6436
_cell_length_c 9.2909
_cell_angle_alpha 68.40
_cell_angle_beta 73.07
_cell_angle_gamma 72.13
_space_group_name_H-M_alt 'P -1'
_space_group_IT_number 2
_space_group_name_Hall '-P 1'
loop_
_atom_site_label
_atom_site_fract_x
_atom_site_fract_y
_atom_site_fract_z
K1 0.1589 0.1792 0.4983
Tl1 0.0973 0.5994 0.2215
Tl2 0.2470 0.7401 0.7780
Tl3 0.3243 0.3364 0.0013
Tl4 0.4315 0.9209 0.2180
Tl5 0.5000 0.5000 0.5000
In1 0.0000 0.0000 0.0000


(6)
# Y2Pb2S (PBE, relaxed)
# energy relative to the elements, uncorrected	-19.9	kcal/mol of atoms
data_Y2Pb2S
_chemical_formula_sum 'Y4 Pb4 S2'
_cell_length_a 7.3922
_cell_length_b 7.3922
_cell_length_c 5.0332
_cell_angle_alpha 90.00
_cell_angle_beta 90.00
_cell_angle_gamma 90.00
_space_group_name_H-M_alt 'P 4/m b m'
_space_group_IT_number 127
_space_group_name_Hall '-P 4 2ab'
loop_
_atom_site_label
_atom_site_fract_x
_atom_site_fract_y
_atom_site_fract_z
Y1 0.1713 0.3287 0.0000
Pb1 0.1461 0.6461 0.5000
S1 0.0000 0.0000 0.0000


| no. | total energy (eV/atom) | Fermi-level density of states (states/eV per cell) |
| --- | --- | --- |
| 1 | -3.485 | 0.0 |
| 2 | -4.151 | 21.7 |
| 3 | -5.479 | 3.5 |
| 4 | -1.952 | 12.4 |
| 5 | -2.235 | 4.5 |
| 6 | -5.757 | 3.3 |